1.
First-principles (PBEsol) data for an optimized crystal structure of FeRu2, as listed in the Alexandria database.

It has space group P6/mmm (No. 191), with a = 4.1850 Å, b = 4.1850 Å, c = 2.5732 Å, α = 90.00°, β = 90.00° and γ = 120.00°. Symmetry generates all atoms from Fe at (0.0000, 0.0000, 0.0000) and Ru at (0.3333, 0.6667, 0.5000).

The value obtained for the size of the total moment is 2.042 μB per cell. Its total energy is -9.392 eV per atom. Its formation energy is 109 kJ/mol of formula units.

=====

2.
First-principles (PBEsol) data for an optimized crystal structure of SrYNO2, as listed in the Alexandria database.

It has space group P4/mmm (No. 123), with a = 4.301 Å, b = 4.301 Å, c = 4.358 Å, α = 90.00°, β = 90.00° and γ = 90.00°. Symmetry generates all atoms from Sr at (0.000, 0.000, 0.000), Y at (0.500, 0.500, 0.500), N at (0.000, 0.000, 0.500) and O at (0.000, 0.500, 0.000).

The value obtained for the size of the total moment is 1.193 μB per cell. Its total energy is -6.162 eV per atom. Its raw formation energy is -0.62 eV per atom.

=====

3.
First-principles (PBEsol) data for an optimized crystal structure of Ca2LaPd2, as listed in the Alexandria database.

It has space group P4/mbm (No. 127), with a = 7.531 Å, b = 7.531 Å, c = 4.413 Å, α = 90.00°, β = 90.00° and γ = 90.00°. Symmetry generates all atoms from Ca at (0.161, 0.339, 0.000), La at (0.000, 0.000, 0.500) and Pd at (0.130, 0.630, 0.500).

The value obtained for the size of the total moment is 0.000 μB per cell. Its total energy is -4.851 eV per atom. Its formation energy is -263 kJ/mol of formula units.

=====

4.
First-principles (PBEsol) data for an optimized crystal structure of Li3Ni, as listed in the Alexandria database.

It has space group P2/m (No. 10), with a = 2.504 Å, b = 4.158 Å, c = 5.167 Å, α = 90.00°, β = 101.20° and γ = 90.00°. Symmetry generates all atoms from Li at (0.000, 0.000, 0.000), Li at (0.219, 0.500, 0.723) and Ni at (0.500, 0.000, 0.500).

The value obtained for the size of the total moment is 0.000 μB per cell. Its total energy is -2.915 eV per atom. Its formation energy is 38 kJ/mol of formula units.

=====

5.
First-principles (PBEsol) data for an optimized crystal structure of Li2In, as listed in the Alexandria database.

It has space group P-62m (No. 189), with a = 8.2656 Å, b = 8.2656 Å, c = 2.9071 Å, α = 90.00°, β = 90.00° and γ = 120.00°. Symmetry generates all atoms from Li at (0.0000, 0.3097, 0.0000), Li at (0.0000, 0.6423, 0.5000), In at (0.0000, 0.0000, 0.5000) and In at (0.3333, 0.6667, 0.0000).

The value obtained for the size of the total moment is 0.000 μB per cell. Its total energy is -2.555 eV per atom. Its formation energy is -72 kJ/mol of formula units.

=====

6.
First-principles (PBEsol) data for an optimized crystal structure of LaSb2, as listed in the Alexandria database.

It has space group P6/mmm (No. 191), with a = 5.0518 Å, b = 5.0518 Å, c = 4.0227 Å, α = 90.00°, β = 90.00° and γ = 120.00°. Symmetry generates all atoms from La at (0.0000, 0.0000, 0.0000) and Sb at (0.3333, 0.6667, 0.5000).

The value obtained for the size of the total moment is 0.000 μB per cell. Its total energy is -5.450 eV per atom. Its raw formation energy is -0.63 eV per atom.

=====

7.
First-principles (PBEsol) data for an optimized crystal structure of LiMoPt2, as listed in the Alexandria database.

It has space group P4/mmm (No. 123), with a = 2.785 Å, b = 2.785 Å, c = 7.066 Å, α = 90.00°, β = 90.00° and γ = 90.00°. Symmetry generates all atoms from Li at (0.000, 0.000, 0.000), Mo at (0.000, 0.000, 0.500) and Pt at (0.500, 0.500, 0.236).

The value obtained for the size of the total moment is 0.000 μB per cell. Its total energy is -7.350 eV per atom. The calculation puts the energy above the most stable polymorph in this dataset at 0 meV per atom. Its formation energy is -168 kJ/mol of formula units.

=====

8.
First-principles (PBEsol) data for an optimized crystal structure of YRhW2, as listed in the Alexandria database.

It has space group Cmm2 (No. 35), with a = 3.548 Å, b = 4.473 Å, c = 8.642 Å, α = 90.00°, β = 90.00° and γ = 90.00°. Symmetry generates all atoms from Y at (0.000, 0.000, 0.000), Rh at (0.000, 0.500, 0.742), W at (0.000, 0.000, 0.528) and W at (0.000, 0.500, 0.288).

The value obtained for the size of the total moment is 0.000 μB per cell. Its total energy is -10.441 eV per atom. The calculation puts the energy above the most stable polymorph in this dataset at 133 meV per atom. Its formation energy is 78 kJ/mol of formula units.